[1]
{"formula": "In3PtBr", "functional": "SCAN", "state": "PBEsol geometry", "lattice": [[5.1501, 0.0000, 0.0000], [0.0000, 5.1501, 0.0000], [0.0000, 0.0000, 5.1501]], "species": ["In", "In", "In", "Pt", "Br"], "fractional_positions": [[0.0000, 0.0000, 0.5000], [0.0000, 0.5000, 0.0000], [0.5000, 0.0000, 0.0000], [0.0000, 0.0000, 0.0000], [0.5000, 0.5000, 0.5000]]}


[2]
{"formula": "Rb2InBr", "functional": "SCAN", "state": "PBEsol geometry", "lattice": [[0.0000, 4.3364, 4.3364], [4.3364, 0.0000, 4.3364], [4.3364, 4.3364, 0.0000]], "species": ["Rb", "Rb", "In", "Br"], "fractional_positions": [[0.2500, 0.2500, 0.2500], [0.7500, 0.7500, 0.7500], [0.0000, 0.0000, 0.0000], [0.5000, 0.5000, 0.5000]]}


[3]
{"formula": "Rb2ScInBr6", "functional": "SCAN", "state": "PBEsol geometry", "lattice": [[0.0000, 5.6669, 5.6669], [5.6669, 0.0000, 5.6669], [5.6669, 5.6669, 0.0000]], "species": ["Rb", "Rb", "Sc", "In", "Br", "Br", "Br", "Br", "Br", "Br"], "fractional_positions": [[0.2500, 0.2500, 0.2500], [0.7500, 0.7500, 0.7500], [0.0000, 0.0000, 0.0000], [0.5000, 0.5000, 0.5000], [0.2316, 0.2316, 0.7684], [0.2316, 0.7684, 0.2316], [0.2316, 0.7684, 0.7684], [0.7684, 0.2316, 0.2316], [0.7684, 0.2316, 0.7684], [0.7684, 0.7684, 0.2316]]}


[4]
{"formula": "In4ReBr", "functional": "SCAN", "state": "PBEsol geometry", "lattice": [[0.0000, 4.1022, 4.1022], [4.1022, 0.0000, 4.1022], [4.1022, 4.1022, 0.0000]], "species": ["In", "In", "In", "In", "Re", "Br"], "fractional_positions": [[0.1254, 0.1254, 0.1254], [0.1254, 0.1254, 0.6238], [0.1254, 0.6238, 0.1254], [0.6238, 0.1254, 0.1254], [0.5000, 0.5000, 0.5000], [0.7500, 0.7500, 0.7500]]}


[5]
{"formula": "InReRu2Br", "functional": "SCAN", "state": "PBEsol geometry", "lattice": [[4.4114, 0.0000, 0.0000], [0.0000, 4.4114, 0.0000], [0.0000, 0.0000, 5.0860]], "species": ["In", "Re", "Ru", "Ru", "Br"], "fractional_positions": [[0.0000, 0.0000, 0.0000], [0.5000, 0.5000, 0.0000], [0.0000, 0.5000, 0.5000], [0.5000, 0.0000, 0.5000], [0.0000, 0.0000, 0.5000]]}


[6]
{"formula": "InReSeBr2", "functional": "SCAN", "state": "PBEsol geometry", "lattice": [[5.2400, 0.0000, 0.0000], [0.0000, 5.2400, 0.0000], [0.0000, 0.0000, 4.6829]], "species": ["In", "Re", "Se", "Br", "Br"], "fractional_positions": [[0.0000, 0.0000, 0.0000], [0.5000, 0.5000, 0.5000], [0.5000, 0.5000, 0.0000], [0.0000, 0.5000, 0.5000], [0.5000, 0.0000, 0.5000]]}


[7]
{"formula": "In2RhBr", "functional": "SCAN", "state": "PBEsol geometry", "lattice": [[0.0000, 3.4833, 3.4833], [3.4833, 0.0000, 3.4833], [3.4833, 3.4833, 0.0000]], "species": ["In", "In", "Rh", "Br"], "fractional_positions": [[0.2500, 0.2500, 0.2500], [0.7500, 0.7500, 0.7500], [0.0000, 0.0000, 0.0000], [0.5000, 0.5000, 0.5000]]}


[8]
{"formula": "In3RhBr", "functional": "SCAN", "state": "PBEsol geometry", "lattice": [[5.1106, 0.0000, 0.0000], [0.0000, 5.1106, 0.0000], [0.0000, 0.0000, 5.1106]], "species": ["In", "In", "In", "Rh", "Br"], "fractional_positions": [[0.0000, 0.0000, 0.5000], [0.0000, 0.5000, 0.0000], [0.5000, 0.0000, 0.0000], [0.0000, 0.0000, 0.0000], [0.5000, 0.5000, 0.5000]]}


[9]
{"formula": "In2RhBr", "functional": "SCAN", "state": "PBEsol geometry", "lattice": [[5.0914, 0.0000, 0.0000], [0.0000, 5.0914, 0.0000], [0.0000, 0.0000, 3.1160]], "species": ["In", "In", "Rh", "Br"], "fractional_positions": [[0.0000, 0.5000, 0.0000], [0.5000, 0.0000, 0.0000], [0.0000, 0.0000, 0.5000], [0.5000, 0.5000, 0.5000]]}


[10]
{"formula": "InRhBr", "functional": "SCAN", "state": "PBEsol geometry", "lattice": [[0.0000, 3.1587, 3.1587], [3.1587, 0.0000, 3.1587], [3.1587, 3.1587, 0.0000]], "species": ["In", "Rh", "Br"], "fractional_positions": [[0.0000, 0.0000, 0.0000], [0.7500, 0.7500, 0.7500], [0.5000, 0.5000, 0.5000]]}


[11]
{"formula": "In2RhBr", "functional": "SCAN", "state": "PBEsol geometry", "lattice": [[3.2793, 0.0000, 0.0000], [0.0000, 4.9810, 0.0000], [0.0000, 0.0000, 4.9925]], "species": ["In", "In", "Rh", "Br"], "fractional_positions": [[0.0000, 0.0000, 0.0000], [0.5000, 0.5000, 0.0000], [0.0000, 0.5000, 0.5000], [0.5000, 0.0000, 0.5000]]}


[12]
{"formula": "InRhBr", "functional": "SCAN", "state": "PBEsol geometry", "lattice": [[4.4843, 0.0000, 0.0000], [-2.2422, 3.8835, 0.0000], [0.0000, 0.0000, 3.2687]], "species": ["In", "Rh", "Br"], "fractional_positions": [[0.0000, 0.0000, 0.0000], [0.3333, 0.6667, 0.4983], [0.6667, 0.3333, 0.4999]]}


[13]
{"formula": "In2RhBr", "functional": "SCAN", "state": "PBEsol geometry", "lattice": [[8.0687, -1.6768, 0.0000], [8.0687, 1.6768, 0.0000], [-0.0054, 0.0000, 3.1876]], "species": ["In", "In", "Rh", "Br"], "fractional_positions": [[0.0000, 0.0000, 0.0000], [0.1898, 0.1898, 0.0025], [0.5937, 0.5937, 0.5015], [0.8351, 0.8351, 0.0050]]}


[14]
{"formula": "InRuBr", "functional": "SCAN", "state": "PBEsol geometry", "lattice": [[-1.5887, 1.5887, 5.7924], [1.5887, -1.5887, 5.7924], [1.5887, 1.5887, -5.7924]], "species": ["In", "Ru", "Br"], "fractional_positions": [[0.0000, 0.0000, 0.0000], [0.6318, 0.6318, 0.0000], [0.2787, 0.2787, 0.0000]]}


[15]
{"formula": "ZnInRuBr2", "functional": "SCAN", "state": "PBEsol geometry", "lattice": [[5.6179, 0.0000, 0.0000], [0.0000, 5.6179, 0.0000], [0.0000, 0.0000, 4.9494]], "species": ["Zn", "In", "Ru", "Br", "Br"], "fractional_positions": [[0.0000, 0.0000, 0.0000], [0.0000, 0.0000, 0.5000], [0.5000, 0.5000, 0.0000], [0.0000, 0.5000, 0.5000], [0.5000, 0.0000, 0.5000]]}


no.,ρ (g cm⁻³),volume (Å³/atom),raw formation energy (eV per atom)
1,7.530,27.32,-0.693
2,3.723,40.77,-0.559
3,3.696,36.40,-1.669
4,8.724,23.01,0.880
5,9.783,19.79,2.204
6,6.971,25.72,0.180
7,8.102,21.13,0.387
8,6.559,26.70,-0.508
9,8.479,20.19,-0.007
10,7.841,21.01,0.047
11,8.399,20.39,0.320
12,8.682,18.97,0.196
13,7.940,21.56,-0.373
14,8.399,19.49,0.458
15,4.689,31.24,0.784